Material: K2Ce2CoO6
Method: DFT, GGA+U
State: relaxed

```
K2Ce2CoO6
1.0
6.075 -0.149 0.140
-3.132 5.207 0.140
-0.955 -1.642 6.217
O Ce K Co
6 2 2 1
direct
0.597 0.959 0.318
0.745 0.745 0.657
0.403 0.041 0.682
0.255 0.255 0.343
0.959 0.597 0.318
0.041 0.403 0.682
0.664 0.336 0.500
0.336 0.664 0.500
0.153 0.847 0.000
0.847 0.153 0.000
0.000 0.000 0.500
```

Properties
ρ ... 4.3 g cm⁻³
DFT total energy ... -75.14 eV for the cell shown
Volume ... 196.6 Å³ per cell